Record 1
16
Lattice="6.9986 0.0000 0.0000 0.0000 9.8700 2.8204 0.0000 -9.8700 2.8204" Properties=species:S:1:pos:R:3 comment="TlCu2BiS4, relaxed, DFT PBE" volume_a3_per_atom=24.4 total_energy_ev_per_cell=-63.01 space_group="No. 40" pbc="T T T"
Tl 1.7497 -7.2289 2.8204
Tl 5.2490 7.2289 2.8204
Cu 0.0000 0.0000 1.9290
Cu 1.7497 -1.8105 4.7550
Cu 3.4993 0.0000 1.9290
Cu 5.2490 1.8105 4.7550
Bi 1.7497 -3.7740 2.4665
Bi 5.2490 3.7740 2.4665
S 0.0115 -1.9221 3.1583
S 1.7497 -0.1430 0.5409
S 1.7497 5.8991 2.7327
S 3.4878 -1.9221 3.1583
S 3.5108 1.9221 3.1583
S 5.2490 0.1430 0.5409
S 5.2490 -5.8991 2.7327
S 6.9871 1.9221 3.1583

Record 2
10
Lattice="6.7038 0.0000 0.0000 0.0000 5.8517 0.0000 0.0000 0.0000 4.7164" Properties=species:S:1:pos:R:3 comment="TcClO3, relaxed, DFT PBE" volume_a3_per_atom=18.5 total_energy_ev_per_cell=-64.98 space_group="No. 31" pbc="T T T"
Tc 0.0000 1.2709 0.0000
Tc 3.3519 4.5808 2.3582
Cl 0.0000 5.0136 4.0271
Cl 3.3519 0.8381 1.6689
O 0.0000 1.2365 1.7105
O 1.3991 2.0888 4.1824
O 1.9528 3.7629 1.8242
O 3.3519 4.6152 4.0687
O 4.7511 3.7629 1.8242
O 5.3047 2.0888 4.1824

Record 3
7
Lattice="2.7142 1.5670 10.4356 -2.7142 1.5670 10.4356 0.0000 -3.1341 10.4356" Properties=species:S:1:pos:R:3 comment="Cs2Na2HgAs2, relaxed, DFT PBE" volume_a3_per_atom=38.0 polymorph_energy_mev_per_atom=0 total_energy_ev_per_cell=-16.50 space_group="No. 166" pbc="T T T"
Cs 0.0000 0.0000 6.3952
Cs 0.0000 0.0000 24.9116
Na 0.0000 0.0000 12.1369
Na 0.0000 0.0000 19.1699
Hg 0.0000 0.0000 0.0000
As 0.0000 0.0000 2.5131
As 0.0000 0.0000 28.7937

Record 4
12
Lattice="8.8552 0.0000 0.0000 0.0000 4.4418 0.0000 -2.6695 0.0000 10.1596" Properties=species:S:1:pos:R:3 comment="NaHoMgTe3, relaxed, DFT PBE" volume_a3_per_atom=33.3 polymorph_energy_mev_per_atom=0 total_energy_ev_per_cell=-47.02 space_group="No. 11" pbc="T T T"
Na 1.1928 1.1104 2.1132
Na 4.9929 3.3313 8.0464
Ho 0.6212 3.3313 8.7179
Ho 5.5645 1.1104 1.4417
Mg -0.8695 1.1104 6.1433
Mg 7.0551 3.3313 4.0163
Te -1.5448 1.1104 8.8082
Te 0.6896 3.3313 5.4529
Te 3.4562 3.3313 1.6201
Te 2.7294 1.1104 8.5396
Te 5.4960 1.1104 4.7067
Te 7.7305 3.3313 1.3514

Record 5
8
Lattice="3.1005 0.0000 0.0000 -1.5503 2.6851 0.0000 0.0000 0.0000 12.1604" Properties=species:S:1:pos:R:3 comment="LiTaSO, relaxed, DFT PBE" volume_a3_per_atom=12.7 polymorph_energy_mev_per_atom=1 total_energy_ev_per_cell=-58.98 space_group="No. 164" pbc="T T T"
Li 0.0000 0.0000 0.0000
Li 0.0000 0.0000 6.0802
Ta 0.0000 0.0000 2.7289
Ta 0.0000 0.0000 9.4315
S 0.0000 1.7901 7.7869
S 1.5503 0.8950 4.3735
O 0.0000 1.7901 10.7428
O 1.5503 0.8950 1.4177

Record 6
10
Lattice="0.0000 4.8679 4.8679 4.8679 0.0000 4.8679 4.8679 4.8679 0.0000" Properties=species:S:1:pos:R:3 comment="Ba2GaPtS6, relaxed, DFT PBE" volume_a3_per_atom=23.1 total_energy_ev_per_cell=-45.86 space_group="No. 225" pbc="T T T"
Ba 2.4340 2.4340 2.4340
Ba 7.3019 7.3019 7.3019
Ga 0.0000 0.0000 0.0000
Pt 4.8679 4.8679 4.8679
S 4.8679 4.8679 2.4583
S 4.8679 2.4583 4.8679
S 7.2775 4.8679 4.8679
S 2.4583 4.8679 4.8679
S 4.8679 7.2775 4.8679
S 4.8679 4.8679 7.2775